Record 1
{"formula": "AgSeN2", "functional": "PBE-GGA", "state": "relaxed", "final_energy_ev_per_atom": -4.470, "rho_g_cm3": 6.0, "volume_a3_per_atom": 14.84, "e_form_raw_mev_per_atom": 1277, "lattice": [[-0.4750, -4.4942, -2.1763], [4.7097, 0.3232, -1.6953], [3.6786, -4.1594, 2.0061]], "species": ["Se", "Se", "Ag", "Ag", "N", "N", "N", "N"], "fractional_positions": [[0.5000, 0.5000, 0.0000], [0.2500, 0.7500, 0.5000], [0.0000, 0.0000, 0.0000], [0.7500, 0.2500, 0.5000], [0.5559, 0.1250, 0.2500], [0.1941, 0.6250, 0.2500], [0.3750, 0.4441, 0.7500], [0.8750, 0.8059, 0.7500]]}



Record 2
{"formula": "AgSe3N", "functional": "PBE-GGA", "state": "relaxed", "final_energy_ev_per_atom": -2.646, "rho_g_cm3": 4.4, "volume_a3_per_atom": 26.98, "e_form_raw_mev_per_atom": 1680, "lattice": [[-0.5571, -4.6169, 2.1625], [2.5020, 1.6478, 4.1626], [-4.4420, 1.5071, 2.0734]], "species": ["Se", "Se", "Se", "Ag", "N"], "fractional_positions": [[0.0000, 0.5000, 0.0000], [0.0000, 0.0000, 0.5000], [0.5000, 0.0000, 0.0000], [0.0000, 0.0000, 0.0000], [0.5000, 0.5000, 0.5000]]}